(1)
Here is a geometry-optimized Ga40GeMo8 structure from Alexandria. Energies are from PBEsol.

Unit cell a=9.4497 b=9.4497 c=9.4497 alpha=93.94 beta=93.94 gamma=93.94
Sites, in units of the cell vectors:
Ga 0.5000 0.5000 0.5000
Ga 0.0000 0.5000 0.5000
Ga 0.5000 0.5000 0.0000
Ga 0.5000 0.0000 0.5000
Ga 0.7401 0.3871 0.3637
Ga 0.3871 0.3637 0.7401
Ga 0.3637 0.7401 0.3871
Ga 0.2599 0.6129 0.6363
Ga 0.6129 0.6363 0.2599
Ga 0.6363 0.2599 0.6129
Ga 0.3324 0.4741 0.2306
Ga 0.4741 0.2306 0.3324
Ga 0.2306 0.3324 0.4741
Ga 0.6676 0.5259 0.7694
Ga 0.5259 0.7694 0.6676
Ga 0.7694 0.6676 0.5259
Ga 0.2223 0.5550 0.9262
Ga 0.5550 0.9262 0.2223
Ga 0.9262 0.2223 0.5550
Ga 0.7777 0.4450 0.0738
Ga 0.4450 0.0738 0.7777
Ga 0.0738 0.7777 0.4450
Ga 0.0382 0.4047 0.2162
Ga 0.4047 0.2162 0.0382
Ga 0.2162 0.0382 0.4047
Ga 0.9618 0.5953 0.7838
Ga 0.5953 0.7838 0.9618
Ga 0.7838 0.9618 0.5953
Ga 0.9568 0.1283 0.2586
Ga 0.1283 0.2586 0.9568
Ga 0.2586 0.9568 0.1283
Ga 0.0432 0.8717 0.7414
Ga 0.8717 0.7414 0.0432
Ga 0.7414 0.0432 0.8717
Ga 0.8762 0.3119 0.8289
Ga 0.3119 0.8289 0.8762
Ga 0.8289 0.8762 0.3119
Ga 0.1238 0.6881 0.1711
Ga 0.6881 0.1711 0.1238
Ga 0.1711 0.1238 0.6881
Ge 0.0000 0.0000 0.0000
Mo 0.2169 0.2169 0.2169
Mo 0.7831 0.7831 0.7831
Mo 0.7164 0.1105 0.3875
Mo 0.1105 0.3875 0.7164
Mo 0.3875 0.7164 0.1105
Mo 0.2836 0.8895 0.6125
Mo 0.8895 0.6125 0.2836
Mo 0.6125 0.2836 0.8895

Values from the calculation:
* energy of formation: -0.16 eV/atom
* SG: R-3

(2)
Here is a geometry-optimized GaGeN3 structure from Alexandria. Energies are from PBEsol.

Unit cell a=3.7830 b=3.7830 c=3.7830 alpha=90.00 beta=90.00 gamma=90.00
Sites, in units of the cell vectors:
Ge 0.0000 0.0000 0.0000
Ga 0.5000 0.5000 0.5000
N 0.0000 0.5000 0.0000
N 0.0000 0.0000 0.5000
N 0.5000 0.0000 0.0000

Values from the calculation:
* SG: Pm-3m
* E_form (uncorrected): 1.302 eV per atom

(3)
Here is a geometry-optimized GaGe3N structure from Alexandria. Energies are from PBEsol.

Unit cell a=4.7239 b=4.7239 c=4.7239 alpha=90.00 beta=90.00 gamma=90.00
Sites, in units of the cell vectors:
Ge 0.0000 0.5000 0.0000
Ge 0.0000 0.0000 0.5000
Ge 0.5000 0.0000 0.0000
Ga 0.0000 0.0000 0.0000
N 0.5000 0.5000 0.5000

Values from the calculation:
* SG: Pm-3m
* E_form (uncorrected): 1.635 eV per atom

(4)
Here is a geometry-optimized Sr2GaGeN structure from Alexandria. Energies are from PBEsol.

Unit cell a=4.0377 b=6.8749 c=8.6515 alpha=108.41 beta=90.00 gamma=90.00
Sites, in units of the cell vectors:
Sr 0.2500 0.2978 0.0344
Sr 0.7500 0.6862 0.3783
Sr 0.2500 0.3138 0.6217
Sr 0.7500 0.7022 0.9656
Ga 0.2500 0.9639 0.2475
Ga 0.7500 0.0361 0.7525
Ge 0.7500 0.1764 0.2999
Ge 0.2500 0.8236 0.7001
N 0.2500 0.6756 0.1707
N 0.7500 0.3244 0.8293

Values from the calculation:
* SG: P2_1/m
* E_form (uncorrected): -0.733 eV per atom

(5)
Here is a geometry-optimized Y2GaGeN structure from Alexandria. Energies are from PBEsol.

Unit cell a=4.3596 b=5.2971 c=5.2971 alpha=90.00 beta=90.00 gamma=90.00
Sites, in units of the cell vectors:
Y 0.0000 0.0000 0.5000
Y 0.0000 0.5000 0.0000
Ge 0.5000 0.0000 0.0000
Ga 0.0000 0.0000 0.0000
N 0.5000 0.5000 0.5000

Values from the calculation:
* SG: P4/mmm
* E_form (uncorrected): 0.839 eV per atom

(6)
Here is a geometry-optimized NaGaGe2O6 structure from Alexandria. Energies are from PBEsol.

Unit cell a=5.4807 b=6.6545 c=6.6545 alpha=82.85 beta=76.93 gamma=76.93
Sites, in units of the cell vectors:
Na 0.2500 0.3043 0.6957
Na 0.7500 0.6957 0.3043
Ga 0.2500 0.9065 0.0935
Ga 0.7500 0.0935 0.9065
Ge 0.2780 0.3835 0.1909
Ge 0.2220 0.8091 0.6165
Ge 0.7220 0.6165 0.8091
Ge 0.7780 0.1909 0.3835
O 0.1977 0.6321 0.0786
O 0.3023 0.9214 0.3679
O 0.8023 0.3679 0.9214
O 0.6977 0.0786 0.6321
O 0.3728 0.1840 0.0202
O 0.1272 0.9798 0.8159
O 0.6272 0.8159 0.9798
O 0.8728 0.0202 0.1840
O 0.4944 0.3736 0.3527
O 0.0056 0.6473 0.6264
O 0.5056 0.6264 0.6473
O 0.9944 0.3527 0.3736

Values from the calculation:
* SG: C2/c
* E_form (uncorrected): -1.798 eV per atom

(7)
Here is a geometry-optimized Na2Ga2GeS6 structure from Alexandria. Energies are from PBEsol.

Unit cell a=7.2413 b=7.2413 c=11.7637 alpha=98.93 beta=98.93 gamma=119.71
Sites, in units of the cell vectors:
Na 0.8762 0.7073 0.4088
Na 0.2985 0.4674 0.5912
Na 0.9573 0.6262 0.9088
Na 0.7174 0.0485 0.0912
Ga 0.2788 0.0588 0.2335
Ga 0.8253 0.0453 0.7665
Ga 0.3088 0.0288 0.7335
Ga 0.2953 0.5753 0.2665
Ge 0.5880 0.0880 0.5000
Ge 0.3380 0.3380 0.0000
S 0.6391 0.2312 0.3462
S 0.8850 0.2928 0.6538
S 0.4812 0.3891 0.8462
S 0.5428 0.6350 0.1538
S 0.0657 0.6924 0.2192
S 0.4732 0.8465 0.7808
S 0.9424 0.8157 0.7192
S 0.0965 0.2232 0.2808
S 0.3252 0.0448 0.0438
S 0.0010 0.2814 0.9562
S 0.2948 0.0752 0.5438
S 0.5314 0.7510 0.4562

Values from the calculation:
* SG: Fdd2
* E_form (uncorrected): -0.821 eV per atom

(8)
Here is a geometry-optimized Nb12Ga3Ge structure from Alexandria. Energies are from PBEsol.

Unit cell a=5.1341 b=5.1351 c=10.2725 alpha=90.00 beta=90.00 gamma=90.00
Sites, in units of the cell vectors:
Nb 0.5000 0.0000 0.3755
Nb 0.5000 0.0000 0.8759
Nb 0.7507 0.5000 0.0000
Nb 0.7522 0.5000 0.5000
Nb 0.0000 0.7514 0.2511
Nb 0.0000 0.7514 0.7489
Nb 0.5000 0.0000 0.1241
Nb 0.5000 0.0000 0.6245
Nb 0.2493 0.5000 0.0000
Nb 0.2478 0.5000 0.5000
Nb 0.0000 0.2486 0.2511
Nb 0.0000 0.2486 0.7489
Ga 0.5000 0.5000 0.2504
Ga 0.5000 0.5000 0.7496
Ga 0.0000 0.0000 0.0000
Ge 0.0000 0.0000 0.5000

Values from the calculation:
* energy of formation: -0.23 eV/atom
* SG: Pmmm